Entry from Alexandria via LeMat-Bulk: a geometry-optimized FeBrO2 structure (PBE+U).

Geometry as POSCAR:
```
FeBrO2
1.0
-3.7463 -1.0304 4.9737
-1.2972 0.6904 6.1380
-3.7157 2.1617 4.6211
Br O Fe
1 2 1
direct
0.0000 0.0000 0.0000
0.8865 0.8865 0.8865
0.1135 0.1135 0.1135
0.5000 0.5000 0.5000
```

Summary:
Energy relative to the lowest polymorph listed for this composition, meV/atom: 0
Magnetic moment, μB per atom: 1.2368
SG: R-3m, No. 166